(1)
Material: BaLaTiCuO6
Method: DFT, PBE-GGA
State: relaxed

Summary:
Final energy in eV for the cell shown: -294.52
Magnetic moment in μB per formula unit: 0.00
Formation energy without anion corrections in eV per atom: -2.5040
Distance to the lowest polymorph of the same formula in meV per atom: 0

Lattice parameters (Å, degrees): 5.635 3.968 22.213 90.00 90.00 90.00
Fractional coordinates of all 40 atoms:
Ba (0.250, 0.000, 0.064)
Ba (0.250, 0.000, 0.804)
Ba (0.750, 0.000, 0.196)
Ba (0.750, 0.000, 0.936)
La (0.250, 0.000, 0.320)
La (0.250, 0.000, 0.561)
La (0.750, 0.000, 0.439)
La (0.750, 0.000, 0.680)
Ti (0.250, 0.500, 0.194)
Ti (0.250, 0.500, 0.935)
Ti (0.750, 0.500, 0.065)
Ti (0.750, 0.500, 0.806)
Cu (0.250, 0.500, 0.440)
Cu (0.250, 0.500, 0.682)
Cu (0.750, 0.500, 0.318)
Cu (0.750, 0.500, 0.560)
O (0.000, 0.500, 0.000)
O (0.000, 0.500, 0.500)
O (0.001, 0.500, 0.621)
O (0.001, 0.500, 0.871)
O (0.017, 0.500, 0.259)
O (0.250, 0.000, 0.197)
O (0.250, 0.000, 0.438)
O (0.250, 0.000, 0.675)
O (0.250, 0.000, 0.935)
O (0.483, 0.500, 0.259)
O (0.499, 0.500, 0.621)
O (0.499, 0.500, 0.871)
O (0.500, 0.500, 0.000)
O (0.500, 0.500, 0.500)
O (0.501, 0.500, 0.129)
O (0.501, 0.500, 0.379)
O (0.517, 0.500, 0.741)
O (0.750, 0.000, 0.065)
O (0.750, 0.000, 0.325)
O (0.750, 0.000, 0.562)
O (0.750, 0.000, 0.803)
O (0.983, 0.500, 0.741)
O (0.999, 0.500, 0.129)
O (0.999, 0.500, 0.379)

(2)
Material: Ba2La2Ti2Cu2O11
Method: DFT, PBE-GGA
State: relaxed

Summary:
Final energy in eV for the cell shown: -142.63
Magnetic moment in μB per formula unit: 0.00
Formation energy without anion corrections in eV per atom: -2.6530

Lattice parameters (Å, degrees): 3.956 3.956 16.112 90.00 90.00 90.00
Fractional coordinates of all 19 atoms:
Ba (0.000, 0.000, 0.235)
Ba (0.000, 0.000, 0.765)
La (0.000, 0.000, 0.000)
La (0.000, 0.000, 0.500)
Ti (0.500, 0.500, 0.374)
Ti (0.500, 0.500, 0.626)
Cu (0.500, 0.500, 0.109)
Cu (0.500, 0.500, 0.891)
O (0.000, 0.500, 0.098)
O (0.000, 0.500, 0.386)
O (0.000, 0.500, 0.614)
O (0.000, 0.500, 0.902)
O (0.500, 0.000, 0.098)
O (0.500, 0.000, 0.386)
O (0.500, 0.000, 0.614)
O (0.500, 0.000, 0.902)
O (0.500, 0.500, 0.258)
O (0.500, 0.500, 0.500)
O (0.500, 0.500, 0.742)

(3)
Material: BaLaTiCuO6
Method: DFT, PBE-GGA
State: relaxed

Summary:
Final energy in eV for the cell shown: -72.75
Magnetic moment in μB per formula unit: 1.23
Formation energy without anion corrections in eV per atom: -2.4164
Distance to the lowest polymorph of the same formula in meV per atom: 88

Lattice parameters (Å, degrees): 5.618 5.618 5.618 60.00 60.00 60.00
Fractional coordinates of all 10 atoms:
Ba (0.000, 0.000, 0.000)
La (0.500, 0.500, 0.500)
Ti (0.250, 0.250, 0.250)
Cu (0.750, 0.750, 0.750)
O (0.003, 0.003, 0.497)
O (0.003, 0.497, 0.003)
O (0.003, 0.497, 0.497)
O (0.497, 0.003, 0.003)
O (0.497, 0.003, 0.497)
O (0.497, 0.497, 0.003)

(4)
Material: BaLaTiCuO6
Method: DFT, PBE-GGA
State: relaxed

Summary:
Final energy in eV for the cell shown: -63.36
Magnetic moment in μB per formula unit: 1.72
Formation energy without anion corrections in eV per atom: -1.4770
Distance to the lowest polymorph of the same formula in meV per atom: 1027

Lattice parameters (Å, degrees): 5.870 5.870 5.870 60.00 60.00 60.00
Fractional coordinates of all 10 atoms:
Ba (0.000, 0.000, 0.000)
La (0.750, 0.750, 0.750)
Ti (0.500, 0.500, 0.500)
Cu (0.250, 0.250, 0.250)
O (0.022, 0.022, 0.478)
O (0.022, 0.478, 0.022)
O (0.022, 0.478, 0.478)
O (0.478, 0.022, 0.022)
O (0.478, 0.022, 0.478)
O (0.478, 0.478, 0.022)

(5)
Material: Ba2LaTlCu2O7
Method: DFT, PBE-GGA
State: relaxed

Summary:
Final energy in eV for the cell shown: -77.64
Magnetic moment in μB per formula unit: 0.00
Formation energy without anion corrections in eV per atom: -1.8156

Lattice parameters (Å, degrees): 3.933 12.861 3.973 90.00 90.00 90.00
Fractional coordinates of all 13 atoms:
Ba (0.000, 0.204, 0.000)
Ba (0.000, 0.796, 0.000)
La (0.000, 0.500, 0.001)
Tl (0.500, 0.000, 0.564)
Cu (0.500, 0.362, 0.500)
Cu (0.500, 0.638, 0.500)
O (0.000, 0.000, 0.886)
O (0.000, 0.378, 0.501)
O (0.000, 0.622, 0.501)
O (0.500, 0.165, 0.482)
O (0.500, 0.377, 0.000)
O (0.500, 0.623, 0.000)
O (0.500, 0.835, 0.482)

(6)
Material: Ba3LaY2Cu6O14
Method: DFT, PBE-GGA
State: relaxed

Summary:
Final energy in eV for the cell shown: -167.04
Magnetic moment in μB per formula unit: 0.00
Formation energy without anion corrections in eV per atom: -1.9008

Lattice parameters (Å, degrees): 12.409 12.376 5.484 77.55 76.88 25.57
Fractional coordinates of all 26 atoms:
Ba (0.000, 0.000, 0.000)
Ba (0.188, 0.188, 0.812)
Ba (0.683, 0.683, 0.317)
La (0.502, 0.502, 0.498)
Y (0.345, 0.345, 0.655)
Y (0.841, 0.841, 0.159)
Cu (0.091, 0.091, 0.409)
Cu (0.275, 0.275, 0.225)
Cu (0.415, 0.415, 0.085)
Cu (0.591, 0.591, 0.909)
Cu (0.775, 0.775, 0.725)
Cu (0.915, 0.915, 0.585)
O (0.011, 0.011, 0.489)
O (0.030, 0.545, 0.455)
O (0.042, 0.522, 0.958)
O (0.131, 0.680, 0.869)
O (0.170, 0.170, 0.330)
O (0.205, 0.626, 0.374)
O (0.370, 0.797, 0.630)
O (0.511, 0.511, 0.989)
O (0.522, 0.042, 0.478)
O (0.545, 0.030, 0.970)
O (0.626, 0.205, 0.795)
O (0.670, 0.670, 0.830)
O (0.680, 0.131, 0.320)
O (0.797, 0.370, 0.203)

(7)
Material: BaLaCuPd
Method: DFT, PBE-GGA
State: relaxed

Summary:
Final energy in eV for the cell shown: -17.13
Magnetic moment in μB per formula unit: 0.00
ΔE_f in eV/f.u.: -0.990

Lattice parameters (Å, degrees): 5.351 5.351 5.351 60.00 60.00 60.00
Fractional coordinates of all 4 atoms:
Ba (0.000, 0.000, 0.000)
La (0.500, 0.500, 0.500)
Cu (0.750, 0.750, 0.750)
Pd (0.250, 0.250, 0.250)

(8)
Material: BaLaCuPt
Method: DFT, PBE-GGA
State: relaxed

Summary:
Final energy in eV for the cell shown: -18.57
Magnetic moment in μB per formula unit: 0.00
ΔE_f in eV/f.u.: -1.582

Lattice parameters (Å, degrees): 5.320 5.320 5.320 60.00 60.00 60.00
Fractional coordinates of all 4 atoms:
Ba (0.000, 0.000, 0.000)
La (0.500, 0.500, 0.500)
Cu (0.750, 0.750, 0.750)
Pt (0.250, 0.250, 0.250)

(9)
Material: BaLa2CuRu
Method: DFT, PBE-GGA
State: relaxed

Summary:
Final energy in eV for the cell shown: -24.84
Magnetic moment in μB per formula unit: 0.00
ΔE_f in eV/f.u.: 0.310

Lattice parameters (Å, degrees): 5.383 5.383 5.409 90.00 90.00 90.00
Fractional coordinates of all 5 atoms:
Ba (0.000, 0.000, 0.000)
La (0.000, 0.500, 0.500)
La (0.500, 0.000, 0.500)
Cu (0.500, 0.500, 0.000)
Ru (0.500, 0.500, 0.500)

(10)
Material: BaLaCuS3
Method: DFT, PBE-GGA
State: relaxed

Summary:
Final energy in eV for the cell shown: -134.61
Magnetic moment in μB per formula unit: 0.00
Formation energy without anion corrections in eV per atom: -1.7204

Lattice parameters (Å, degrees): 11.359 4.259 11.899 90.00 90.00 90.00
Fractional coordinates of all 24 atoms:
Ba (0.183, 0.250, 0.008)
Ba (0.317, 0.750, 0.508)
Ba (0.683, 0.250, 0.492)
Ba (0.817, 0.750, 0.992)
La (0.010, 0.250, 0.682)
La (0.490, 0.750, 0.182)
La (0.510, 0.250, 0.818)
La (0.990, 0.750, 0.318)
Cu (0.248, 0.750, 0.792)
Cu (0.252, 0.250, 0.292)
Cu (0.748, 0.750, 0.708)
Cu (0.752, 0.250, 0.208)
S (0.051, 0.750, 0.849)
S (0.111, 0.250, 0.440)
S (0.225, 0.750, 0.204)
S (0.275, 0.250, 0.704)
S (0.389, 0.750, 0.940)
S (0.449, 0.250, 0.349)
S (0.551, 0.750, 0.651)
S (0.611, 0.250, 0.060)
S (0.725, 0.750, 0.296)
S (0.775, 0.250, 0.796)
S (0.889, 0.750, 0.560)
S (0.949, 0.250, 0.151)

(11)
Material: BaLaCu2S4
Method: DFT, PBE-GGA
State: relaxed

Summary:
Final energy in eV for the cell shown: -41.09
Magnetic moment in μB per formula unit: 0.00
Formation energy without anion corrections in eV per atom: -1.1924

Lattice parameters (Å, degrees): 6.260 6.260 6.260 115.01 115.01 98.88
Fractional coordinates of all 8 atoms:
Ba (0.000, 0.000, 0.000)
La (0.500, 0.500, 0.000)
Cu (0.250, 0.750, 0.500)
Cu (0.750, 0.250, 0.500)
S (0.035, 0.503, 0.000)
S (0.497, 0.497, 0.532)
S (0.503, 0.035, 0.000)
S (0.965, 0.965, 0.468)

(12)
Material: BaLaCu2S
Method: DFT, PBE-GGA
State: relaxed

Summary:
Final energy in eV for the cell shown: -13.97
Magnetic moment in μB per formula unit: 1.10
Formation energy without anion corrections in eV per atom: 1.0409

Lattice parameters (Å, degrees): 5.115 5.115 7.035 90.00 90.00 90.00
Fractional coordinates of all 5 atoms:
Ba (0.000, 0.000, 0.000)
La (0.000, 0.000, 0.500)
Cu (0.000, 0.500, 0.000)
Cu (0.500, 0.000, 0.000)
S (0.500, 0.500, 0.500)

- Which value of magnetic moment does entry 5 give?
  0.00 μB per formula unit